(1)
DFT (PBE-GGA) results for a geometry-optimized KBePt2 structure.

Lattice parameters (Å, degrees): 4.0264 4.1236 4.1236 90.00 90.00 90.00
Fractional positions:
Be (0.5000, 0.5000, 0.0000)
Pt (0.0000, 0.0000, 0.0000)
Pt (0.0000, 0.5000, 0.5000)
K (0.5000, 0.0000, 0.5000)

Computed properties:
total DFT energy (no corrections) = -14.93 eV for the cell shown
SG = P4/mmm (123)
energy of formation = 0.493 eV per atom

(2)
DFT (PBE-GGA) results for a geometry-optimized KBePt3 structure.

Lattice parameters (Å, degrees): 4.4299 4.4299 4.4299 90.00 90.00 90.00
Fractional positions:
Be (0.0000, 0.0000, 0.0000)
K (0.5000, 0.5000, 0.5000)
Pt (0.0000, 0.0000, 0.5000)
Pt (0.5000, 0.0000, 0.0000)
Pt (0.0000, 0.5000, 0.0000)

Computed properties:
total DFT energy (no corrections) = -22.79 eV for the cell shown
SG = Pm-3m (221)
energy of formation = 0.032 eV per atom
excess energy over the best structure of this formula in the dataset = 0 meV per atom

(3)
DFT (PBE-GGA) results for a geometry-optimized KBePt2 structure.

Lattice parameters (Å, degrees): 4.9272 4.9272 4.9272 129.35 129.35 74.44
Fractional positions:
K (0.7500, 0.2500, 0.5000)
Pt (0.2500, 0.7500, 0.5000)
Pt (0.0000, 0.0000, 0.0000)
Be (0.5000, 0.5000, 0.0000)

Computed properties:
total DFT energy (no corrections) = -14.65 eV for the cell shown
SG = I-4m2 (119)
energy of formation = 0.564 eV per atom

(4)
DFT (PBE-GGA) results for a geometry-optimized K2BePt structure.

Lattice parameters (Å, degrees): 11.3005 11.3005 11.3005 15.76 15.76 15.76
Fractional positions:
Pt (0.2500, 0.2500, 0.2500)
Be (0.7500, 0.7500, 0.7500)
K (0.5055, 0.5055, 0.5055)
K (0.9945, 0.9945, 0.9945)

Computed properties:
total DFT energy (no corrections) = -8.76 eV for the cell shown
SG = R-3m (166)
energy of formation = 0.800 eV per atom

(5)
DFT (PBE-GGA) results for a geometry-optimized K2BePt structure.

Lattice parameters (Å, degrees): 5.0426 5.0426 4.4675 90.00 90.00 116.25
Fractional positions:
K (0.0000, 0.0000, 0.0000)
K (0.5000, 0.5000, 0.0000)
Pt (0.5000, 0.0000, 0.5000)
Be (0.0000, 0.5000, 0.5000)

Computed properties:
total DFT energy (no corrections) = -9.77 eV for the cell shown
SG = Cmmm (65)
energy of formation = 0.548 eV per atom

(6)
DFT (PBE-GGA) results for a geometry-optimized KBePt2 structure.

Lattice parameters (Å, degrees): 2.8225 5.1404 5.8672 52.51 90.00 90.00
Fractional positions:
K (0.0000, 0.0000, 0.5000)
Pt (0.0000, 0.0000, 0.0000)
Pt (0.5000, 0.5000, 0.0000)
Be (0.5000, 0.5000, 0.5000)

Computed properties:
total DFT energy (no corrections) = -15.13 eV for the cell shown
SG = P2/m (10)
energy of formation = 0.445 eV per atom

(7)
DFT (PBE-GGA) results for a geometry-optimized KBePt2 structure.

Lattice parameters (Å, degrees): 3.1410 3.1416 7.6247 90.00 90.00 90.01
Fractional positions:
Pt (0.0000, 0.0000, 0.0666)
Pt (0.5000, 0.5000, 0.3085)
Be (0.0000, 0.0000, 0.3773)
K (0.5000, 0.5000, 0.7476)

Computed properties:
total DFT energy (no corrections) = -17.08 eV for the cell shown
SG = P4mm (99)
energy of formation = -0.043 eV per atom

(8)
DFT (PBE-GGA) results for a geometry-optimized KBePt3 structure.

Lattice parameters (Å, degrees): 4.9265 4.9265 4.9265 90.00 90.00 90.00
Fractional positions:
Pt (0.0000, 0.5000, 0.0000)
Pt (0.5000, 0.0000, 0.0000)
Pt (0.0000, 0.0000, 0.5000)
Be (0.5000, 0.5000, 0.5000)
K (0.0000, 0.0000, 0.0000)

Computed properties:
total DFT energy (no corrections) = -11.06 eV for the cell shown
SG = Pm-3m (221)
energy of formation = 2.377 eV per atom
excess energy over the best structure of this formula in the dataset = 2345 meV per atom

These records have magnetization values of 0.000; 0.000; 0.000; 0.000; 0.000; 0.000; 0.000; 0.000 μB/atom, in the order they appear.